Run i
## Ba2ZnP (GGA-PBE)

Data for Ba2ZnP after structural relaxation.

Cell: 8.7555 8.7555 8.7555 Å, 31.11 31.11 31.11°
Atoms (fractional coordinates):
Ba  0.2347  0.2347  0.2347
Ba  0.7653  0.7653  0.7653
Zn  0.0000  0.0000  0.0000
P  0.5000  0.5000  0.5000

Results
The calculation puts the density at 3.87 g/cm3. As for the crystal system: trigonal.


Run ii
## Ba2ZnP (GGA-PBE)

Data for Ba2ZnP after structural relaxation.

Cell: 7.4877 7.4877 7.4877 Å, 108.79 108.79 110.85°
Atoms (fractional coordinates):
Ba  0.0884  0.1250  0.4634
Ba  0.3750  0.9116  0.0366
Ba  0.6616  0.6250  0.5366
Ba  0.8750  0.3384  0.9634
Zn  0.2500  0.7500  0.5000
Zn  0.5000  0.5000  0.0000
P  0.0000  0.0000  0.0000
P  0.7500  0.2500  0.5000

Results
The calculation puts the density at 3.81 g/cm3. As for the crystal system: tetragonal.


Which of them is the most stable, and which is the least stable? run i and run ii, in that order.